{"formula": "Pr2PbBr", "functional": "PBE", "state": "optimized geometry", "magnetic_moment_mub_per_fu": 0.00, "mass_density_g_cm3": 7.88, "polymorph_energy_mev_per_atom": 49, "e_form_raw_ev_per_atom": -0.7758, "lattice": [[3.689, 0.000, 0.000], [1.845, 3.195, 0.000], [1.845, 1.065, 10.176]], "species": ["Pb", "Pr", "Pr", "Br"], "fractional_positions": [[0.000, 0.000, 0.000], [0.755, 0.755, 0.734], [0.245, 0.245, 0.266], [0.500, 0.500, 0.500]]}